(1)
TiW3Br PBE optimized geometry; symmetry = Pm-3m (221); energy above the most stable polymorph in this dataset = 0 meV/atom; ΔE_f (raw) = 1974 meV/atom; crystal system = cubic
1.0
4.584 0.000 0.000
0.000 4.584 0.000
0.000 0.000 4.584
Ti W Br
1 3 1
Direct
0.000 0.000 0.000 Ti
0.000 0.500 0.500 W
0.500 0.000 0.500 W
0.500 0.500 0.000 W
0.500 0.500 0.500 Br

---

(2)
Ti3WBr PBE optimized geometry; symmetry = Pm-3m (221); energy above the most stable polymorph in this dataset = 0 meV/atom; ΔE_f (raw) = 861 meV/atom; crystal system = cubic
1.0
4.562 0.000 0.000
0.000 4.562 0.000
0.000 0.000 4.562
Ti W Br
3 1 1
Direct
0.000 0.000 0.500 Ti
0.000 0.500 0.000 Ti
0.500 0.000 0.000 Ti
0.500 0.500 0.500 W
0.000 0.000 0.000 Br

---

(3)
Ti3WBr PBE optimized geometry; symmetry = Pm-3m (221); energy above the most stable polymorph in this dataset = 65 meV/atom; ΔE_f (raw) = 926 meV/atom; crystal system = cubic
1.0
4.885 0.000 0.000
0.000 4.885 0.000
0.000 0.000 4.885
Ti W Br
3 1 1
Direct
0.000 0.000 0.500 Ti
0.000 0.500 0.000 Ti
0.500 0.000 0.000 Ti
0.000 0.000 0.000 W
0.500 0.500 0.500 Br

---

(4)
Y2TiBr PBE optimized geometry; symmetry = Fm-3m (225); energy above the most stable polymorph in this dataset = 32 meV/atom; ΔE_f (raw) = 160 meV/atom; crystal system = cubic
1.0
0.000 3.754 3.754
3.754 0.000 3.754
3.754 3.754 0.000
Y Ti Br
2 1 1
Direct
0.250 0.250 0.250 Y
0.750 0.750 0.750 Y
0.000 0.000 0.000 Ti
0.500 0.500 0.500 Br

---

(5)
Y3TiBr PBE optimized geometry; symmetry = Pm-3m (221); energy above the most stable polymorph in this dataset = 0 meV/atom; ΔE_f (raw) = 149 meV/atom; crystal system = cubic
1.0
5.315 0.000 0.000
0.000 5.315 0.000
0.000 0.000 5.315
Y Ti Br
3 1 1
Direct
0.000 0.000 0.500 Y
0.000 0.500 0.000 Y
0.500 0.000 0.000 Y
0.500 0.500 0.500 Ti
0.000 0.000 0.000 Br

---

(6)
Y2TiBr PBE optimized geometry; symmetry = I-42d (122); energy above the most stable polymorph in this dataset = 0 meV/atom; ΔE_f (raw) = 128 meV/atom; crystal system = tetragonal
1.0
-4.153 4.153 3.201
4.153 -4.153 3.201
4.153 4.153 -3.201
Y Ti Br
4 2 2
Direct
0.081 0.125 0.456 Y
0.375 0.919 0.044 Y
0.669 0.625 0.544 Y
0.875 0.331 0.956 Y
0.250 0.750 0.500 Ti
0.500 0.500 0.000 Ti
0.000 0.000 0.000 Br
0.750 0.250 0.500 Br

---

(7)
Y2Ti2Br PBE optimized geometry; symmetry = I4/mmm (139); energy above the most stable polymorph in this dataset = 0 meV/atom; ΔE_f (raw) = -71 meV/atom; crystal system = tetragonal
1.0
-1.847 1.847 9.346
1.847 -1.847 9.346
1.847 1.847 -9.346
Y Ti Br
2 2 1
Direct
0.114 0.114 0.000 Y
0.886 0.886 0.000 Y
0.250 0.750 0.500 Ti
0.750 0.250 0.500 Ti
0.500 0.500 0.000 Br

---

(8)
Y2Ti2Br PBE optimized geometry; symmetry = P4/mbm (127); energy above the most stable polymorph in this dataset = 220 meV/atom; ΔE_f (raw) = 149 meV/atom; crystal system = tetragonal
1.0
8.454 0.000 0.000
0.000 8.454 0.000
0.000 0.000 3.710
Y Ti Br
4 4 2
Direct
0.200 0.300 0.000 Y
0.300 0.800 0.000 Y
0.700 0.200 0.000 Y
0.800 0.700 0.000 Y
0.087 0.587 0.500 Ti
0.413 0.087 0.500 Ti
0.587 0.913 0.500 Ti
0.913 0.413 0.500 Ti
0.000 0.000 0.000 Br
0.500 0.500 0.000 Br

---

(9)
YTi3Br PBE optimized geometry; symmetry = Pm-3m (221); energy above the most stable polymorph in this dataset = 1286 meV/atom; ΔE_f (raw) = 1544 meV/atom; crystal system = cubic
1.0
5.096 0.000 0.000
0.000 5.096 0.000
0.000 0.000 5.096
Y Ti Br
1 3 1
Direct
0.000 0.000 0.000 Y
0.000 0.000 0.500 Ti
0.000 0.500 0.000 Ti
0.500 0.000 0.000 Ti
0.500 0.500 0.500 Br

---

(10)
YTiBr3 PBE optimized geometry; symmetry = Pm-3m (221); energy above the most stable polymorph in this dataset = 0 meV/atom; ΔE_f (raw) = -495 meV/atom; crystal system = cubic
1.0
5.210 0.000 0.000
0.000 5.210 0.000
0.000 0.000 5.210
Y Ti Br
1 1 3
Direct
0.000 0.000 0.000 Y
0.500 0.500 0.500 Ti
0.000 0.500 0.500 Br
0.500 0.000 0.500 Br
0.500 0.500 0.000 Br

---

(11)
Y3TiBr PBE optimized geometry; symmetry = Pm-3m (221); energy above the most stable polymorph in this dataset = 217 meV/atom; ΔE_f (raw) = 366 meV/atom; crystal system = cubic
1.0
5.487 0.000 0.000
0.000 5.487 0.000
0.000 0.000 5.487
Y Ti Br
3 1 1
Direct
0.000 0.000 0.500 Y
0.000 0.500 0.000 Y
0.500 0.000 0.000 Y
0.000 0.000 0.000 Ti
0.500 0.500 0.500 Br

---

(12)
YTiBr3 PBE optimized geometry; symmetry = Pm-3m (221); energy above the most stable polymorph in this dataset = 18 meV/atom; ΔE_f (raw) = -477 meV/atom; crystal system = cubic
1.0
5.598 0.000 0.000
0.000 5.598 0.000
0.000 0.000 5.598
Y Ti Br
1 1 3
Direct
0.000 0.000 0.000 Y
0.500 0.500 0.500 Ti
0.000 0.000 0.500 Br
0.000 0.500 0.000 Br
0.500 0.000 0.000 Br

---

(13)
YTi3Br PBE optimized geometry; symmetry = Pm-3m (221); energy above the most stable polymorph in this dataset = 0 meV/atom; ΔE_f (raw) = 258 meV/atom; crystal system = cubic
1.0
4.789 0.000 0.000
0.000 4.789 0.000
0.000 0.000 4.789
Y Ti Br
1 3 1
Direct
0.000 0.000 0.000 Y
0.000 0.500 0.500 Ti
0.500 0.000 0.500 Ti
0.500 0.500 0.000 Ti
0.500 0.500 0.500 Br

---

(14)
Y2TiZnBr PBE optimized geometry; symmetry = P4/mmm (123); ΔE_f (raw) = 342 meV/atom; crystal system = tetragonal
1.0
5.448 0.000 0.000
0.000 5.448 0.000
0.000 0.000 4.883
Y Ti Zn Br
2 1 1 1
Direct
0.000 0.500 0.000 Y
0.500 0.000 0.000 Y
0.000 0.000 0.000 Ti
0.000 0.000 0.500 Zn
0.500 0.500 0.500 Br

---

(15)
Ti3ZnBr PBE optimized geometry; symmetry = Pm-3m (221); energy above the most stable polymorph in this dataset = 0 meV/atom; ΔE_f (raw) = 531 meV/atom; crystal system = cubic
1.0
4.651 0.000 0.000
0.000 4.651 0.000
0.000 0.000 4.651
Ti Zn Br
3 1 1
Direct
0.000 0.000 0.500 Ti
0.000 0.500 0.000 Ti
0.500 0.000 0.000 Ti
0.500 0.500 0.500 Zn
0.000 0.000 0.000 Br

---

(16)
Ti2Zn2Br PBE optimized geometry; symmetry = P4/mbm (127); ΔE_f (raw) = -76 meV/atom; crystal system = tetragonal
1.0
6.639 0.000 0.000
0.000 6.639 0.000
0.000 0.000 4.071
Ti Zn Br
4 4 2
Direct
0.154 0.346 0.000 Ti
0.346 0.846 0.000 Ti
0.654 0.154 0.000 Ti
0.846 0.654 0.000 Ti
0.139 0.639 0.500 Zn
0.361 0.139 0.500 Zn
0.639 0.861 0.500 Zn
0.861 0.361 0.500 Zn
0.000 0.000 0.000 Br
0.500 0.500 0.000 Br

---

(17)
Zr2TiBr PBE optimized geometry; symmetry = I-42d (122); ΔE_f (raw) = 403 meV/atom; crystal system = tetragonal
1.0
-2.066 2.066 10.193
2.066 -2.066 10.193
2.066 2.066 -10.193
Zr Ti Br
4 2 2
Direct
0.123 0.625 0.998 Zr
0.375 0.373 0.498 Zr
0.627 0.125 0.002 Zr
0.875 0.877 0.502 Zr
0.250 0.750 0.500 Ti
0.500 0.500 0.000 Ti
0.000 0.000 0.000 Br
0.750 0.250 0.500 Br

---

(18)
ZrTiBr4 PBE optimized geometry; symmetry = Cm (8); energy above the most stable polymorph in this dataset = 0 meV/atom; ΔE_f (raw) = -1196 meV/atom; crystal system = monoclinic
1.0
7.647 -1.736 0.000
7.647 1.736 0.000
-1.062 0.000 6.302
Zr Ti Br
1 1 4
Direct
0.000 0.000 0.000 Zr
0.495 0.495 0.615 Ti
0.093 0.093 0.431 Br
0.394 0.394 0.187 Br
0.631 0.631 0.930 Br
0.869 0.869 0.658 Br

---

(19)
ZrTi3Br PBE optimized geometry; symmetry = Pm-3m (221); energy above the most stable polymorph in this dataset = 0 meV/atom; ΔE_f (raw) = 327 meV/atom; crystal system = cubic
1.0
4.683 0.000 0.000
0.000 4.683 0.000
0.000 0.000 4.683
Zr Ti Br
1 3 1
Direct
0.000 0.000 0.000 Zr
0.000 0.500 0.500 Ti
0.500 0.000 0.500 Ti
0.500 0.500 0.000 Ti
0.500 0.500 0.500 Br

---

(20)
ZrTi2Br6 PBE optimized geometry; symmetry = C2/c (15); ΔE_f (raw) = -985 meV/atom; crystal system = monoclinic
1.0
6.929 -5.884 0.000
6.929 5.884 0.000
-3.035 0.000 5.778
Zr Ti Br
2 4 12
Direct
0.072 0.928 0.750 Zr
0.928 0.072 0.250 Zr
0.165 0.316 0.500 Ti
0.316 0.165 0.000 Ti
0.684 0.835 0.000 Ti
0.835 0.684 0.500 Ti
0.017 0.235 0.027 Br
0.123 0.620 0.465 Br
0.235 0.017 0.527 Br
0.290 0.436 0.940 Br
0.380 0.877 0.035 Br
0.436 0.290 0.440 Br
0.564 0.710 0.560 Br
0.620 0.123 0.965 Br
0.710 0.564 0.060 Br
0.765 0.983 0.473 Br
0.877 0.380 0.535 Br
0.983 0.765 0.973 Br